(1)
Compound: CePuTcAg
Source: Alexandria via LeMat-Bulk
Functional: PBE-GGA
Structure: relaxed

Cell and atoms, written as CIF:
```
data_CePuTcAg
_symmetry_space_group_name_H-M 'P 4 m m'
_symmetry_Int_Tables_number 99
_cell_length_a 3.289
_cell_length_b 3.289
_cell_length_c 8.211
_cell_angle_alpha 90.00
_cell_angle_beta 90.00
_cell_angle_gamma 90.00
loop_
_symmetry_equiv_pos_as_xyz
'x,y,z'
'-y,x,z'
'-x,-y,z'
'y,-x,z'
'-x,y,z'
'y,x,z'
'x,-y,z'
'-y,-x,z'
loop_
_atom_site_label
_atom_site_type_symbol
_atom_site_fract_x
_atom_site_fract_y
_atom_site_fract_z
Ce1 Ce 0.000 0.000 0.000
Pu1 Pu 0.000 0.000 0.565
Tc1 Tc 0.500 0.500 0.778
Ag1 Ag 0.500 0.500 0.288
```

Computed properties:
Total DFT energy (no corrections), eV per atom: -8.400
Volume, Å³/cell: 88.8
Crystal system: tetragonal
ΔE_f, eV per atom: -0.03
Distance to the lowest polymorph of the same formula, kJ per mole of atoms: 0.0


(2)
Compound: CePuTcAg
Source: Alexandria via LeMat-Bulk
Functional: PBE-GGA
Structure: relaxed

Cell and atoms, written as CIF:
```
data_CePuTcAg
_symmetry_space_group_name_H-M 'F -4 3 m'
_symmetry_Int_Tables_number 216
_symmetry_space_group_name_Hall 'F -4 2 3'
_cell_length_a 7.071
_cell_length_b 7.071
_cell_length_c 7.071
_cell_angle_alpha 90.00
_cell_angle_beta 90.00
_cell_angle_gamma 90.00
loop_
_atom_site_label
_atom_site_type_symbol
_atom_site_fract_x
_atom_site_fract_y
_atom_site_fract_z
Ce1 Ce 0.000 0.000 0.000
Pu1 Pu 0.000 0.000 0.500
Tc1 Tc 0.250 0.250 0.250
Ag1 Ag 0.250 0.250 0.750
```

Computed properties:
Total DFT energy (no corrections), eV per atom: -8.261
Volume, Å³/cell: 353.6
Crystal system: cubic
ΔE_f, eV per atom: 0.11
Distance to the lowest polymorph of the same formula, kJ per mole of atoms: 13.4


(3)
Compound: CePuAgTe
Source: Alexandria via LeMat-Bulk
Functional: PBE-GGA
Structure: relaxed

Cell and atoms, written as CIF:
```
data_CePuAgTe
_symmetry_space_group_name_H-M 'F -4 3 m'
_symmetry_Int_Tables_number 216
_symmetry_space_group_name_Hall 'F -4 2 3'
_cell_length_a 7.548
_cell_length_b 7.548
_cell_length_c 7.548
_cell_angle_alpha 90.00
_cell_angle_beta 90.00
_cell_angle_gamma 90.00
loop_
_atom_site_label
_atom_site_type_symbol
_atom_site_fract_x
_atom_site_fract_y
_atom_site_fract_z
Ce1 Ce 0.000 0.000 0.000
Pu1 Pu 0.000 0.000 0.500
Ag1 Ag 0.250 0.250 0.250
Te1 Te 0.250 0.250 0.750
```

Computed properties:
Raw formation energy, kcal/mol of atoms: -11.094
Total DFT energy (no corrections), eV per atom: -7.046
Volume, Å³/cell: 430.1
Crystal system: cubic


(4)
Compound: CePuZnAg
Source: Alexandria via LeMat-Bulk
Functional: PBE-GGA
Structure: relaxed

Cell and atoms, written as CIF:
```
data_CePuZnAg
_symmetry_space_group_name_H-M 'F -4 3 m'
_symmetry_Int_Tables_number 216
_symmetry_space_group_name_Hall 'F -4 2 3'
_cell_length_a 7.310
_cell_length_b 7.310
_cell_length_c 7.310
_cell_angle_alpha 90.00
_cell_angle_beta 90.00
_cell_angle_gamma 90.00
loop_
_atom_site_label
_atom_site_type_symbol
_atom_site_fract_x
_atom_site_fract_y
_atom_site_fract_z
Ce1 Ce 0.000 0.000 0.000
Pu1 Pu 0.000 0.000 0.500
Zn1 Zn 0.250 0.250 0.750
Ag1 Ag 0.250 0.250 0.250
```

Computed properties:
Total DFT energy (no corrections), eV per atom: -6.113
Volume, Å³/cell: 390.5
Crystal system: cubic
ΔE_f, eV per atom: -0.02


(5)
Compound: Rb2Ce2AgS6
Source: Alexandria via LeMat-Bulk
Functional: PBE-GGA
Structure: relaxed

Cell and atoms, written as CIF:
```
data_Rb2Ce2AgS6
_symmetry_space_group_name_H-M 'C 1 2/m 1'
_symmetry_Int_Tables_number 12
_cell_length_a 6.879
_cell_length_b 12.413
_cell_length_c 8.138
_cell_angle_alpha 90.00
_cell_angle_beta 104.85
_cell_angle_gamma 90.00
loop_
_symmetry_equiv_pos_as_xyz
'x,y,z'
'-x,-y,-z'
'-x,y,-z'
'x,-y,z'
'x+1/2,y+1/2,z'
'-x+1/2,-y+1/2,-z'
'-x+1/2,y+1/2,-z'
'x+1/2,-y+1/2,z'
loop_
_atom_site_label
_atom_site_type_symbol
_atom_site_fract_x
_atom_site_fract_y
_atom_site_fract_z
Rb1 Rb 0.000 0.156 0.000
Ce1 Ce 0.000 0.334 0.500
Ag1 Ag 0.000 0.000 0.500
S1 S 0.237 0.179 0.694
S2 S 0.243 0.500 0.672
```

Computed properties:
Raw formation energy, kcal/mol of atoms: -29.569
Total DFT energy (no corrections), eV per atom: -5.048
Volume, Å³/cell: 671.7
Crystal system: monoclinic


(6)
Compound: Rb3Ce2AgS6
Source: Alexandria via LeMat-Bulk
Functional: PBE-GGA
Structure: relaxed

Cell and atoms, written as CIF:
```
data_Rb3Ce2AgS6
_symmetry_space_group_name_H-M 'C 1 2/m 1'
_symmetry_Int_Tables_number 12
_cell_length_a 7.106
_cell_length_b 12.535
_cell_length_c 7.963
_cell_angle_alpha 90.00
_cell_angle_beta 106.69
_cell_angle_gamma 90.00
loop_
_symmetry_equiv_pos_as_xyz
'x,y,z'
'-x,-y,-z'
'-x,y,-z'
'x,-y,z'
'x+1/2,y+1/2,z'
'-x+1/2,-y+1/2,-z'
'-x+1/2,y+1/2,-z'
'x+1/2,-y+1/2,z'
loop_
_atom_site_label
_atom_site_type_symbol
_atom_site_fract_x
_atom_site_fract_y
_atom_site_fract_z
Rb1 Rb 0.000 0.000 0.000
Rb2 Rb 0.000 0.343 0.000
Ce1 Ce 0.000 0.167 0.500
Ag1 Ag 0.000 0.500 0.500
S1 S 0.219 0.000 0.686
S2 S 0.244 0.320 0.698
```

Computed properties:
Raw formation energy, kcal/mol of atoms: -32.004
Total DFT energy (no corrections), eV per atom: -4.920
Volume, Å³/cell: 679.4
Crystal system: monoclinic


(7)
Compound: Rb4Ce3AgS8
Source: Alexandria via LeMat-Bulk
Functional: PBE-GGA
Structure: relaxed

Cell and atoms, written as CIF:
```
data_Rb4Ce3AgS8
_symmetry_space_group_name_H-M 'R -3 m'
_symmetry_Int_Tables_number 166
_symmetry_space_group_name_Hall '-R 3 2"'
_cell_length_a 8.3504
_cell_length_b 8.3504
_cell_length_c 22.8778
_cell_angle_alpha 90.00
_cell_angle_beta 90.00
_cell_angle_gamma 120.00
loop_
_atom_site_label
_atom_site_type_symbol
_atom_site_fract_x
_atom_site_fract_y
_atom_site_fract_z
Rb1 Rb 0.0000 0.0000 0.0000
Rb2 Rb 0.0000 0.5000 0.0000
Ce1 Ce 0.0000 0.5000 0.5000
Ag1 Ag 0.0000 0.0000 0.5000
S1 S 0.0000 0.0000 0.2319
S2 S 0.0155 0.5078 0.7693
```

Computed properties:
Raw formation energy, kcal/mol of atoms: -34.236
Total DFT energy (no corrections), eV per atom: -5.081
Volume, Å³/cell: 1381.3
Crystal system: trigonal


(8)
Compound: RbCe2AgS4
Source: Alexandria via LeMat-Bulk
Functional: PBE-GGA
Structure: relaxed

Cell and atoms, written as CIF:
```
data_RbCe2AgS4
_symmetry_space_group_name_H-M 'C m c m'
_symmetry_Int_Tables_number 63
_symmetry_space_group_name_Hall '-C 2c 2'
_cell_length_a 4.199
_cell_length_b 14.054
_cell_length_c 14.443
_cell_angle_alpha 90.00
_cell_angle_beta 90.00
_cell_angle_gamma 90.00
loop_
_atom_site_label
_atom_site_type_symbol
_atom_site_fract_x
_atom_site_fract_y
_atom_site_fract_z
Rb1 Rb 0.000 0.113 0.250
Ce1 Ce 0.000 0.370 0.062
Ag1 Ag 0.000 0.164 0.750
S1 S 0.000 0.000 0.000
S2 S 0.000 0.260 0.602
S3 S 0.000 0.436 0.250
```

Computed properties:
Raw formation energy, kcal/mol of atoms: -35.443
Total DFT energy (no corrections), eV per atom: -5.562
Volume, Å³/cell: 852.3
Crystal system: orthorhombic


(9)
Compound: Rb3Ce2AgSe6
Source: Alexandria via LeMat-Bulk
Functional: PBE-GGA
Structure: relaxed

Cell and atoms, written as CIF:
```
data_Rb3Ce2AgSe6
_symmetry_space_group_name_H-M 'C 1 2/m 1'
_symmetry_Int_Tables_number 12
_cell_length_a 7.406
_cell_length_b 12.990
_cell_length_c 8.292
_cell_angle_alpha 90.00
_cell_angle_beta 106.84
_cell_angle_gamma 90.00
loop_
_symmetry_equiv_pos_as_xyz
'x,y,z'
'-x,-y,-z'
'-x,y,-z'
'x,-y,z'
'x+1/2,y+1/2,z'
'-x+1/2,-y+1/2,-z'
'-x+1/2,y+1/2,-z'
'x+1/2,-y+1/2,z'
loop_
_atom_site_label
_atom_site_type_symbol
_atom_site_fract_x
_atom_site_fract_y
_atom_site_fract_z
Rb1 Rb 0.000 0.000 0.000
Rb2 Rb 0.000 0.342 0.000
Ce1 Ce 0.000 0.167 0.500
Ag1 Ag 0.000 0.500 0.500
Se1 Se 0.223 0.000 0.690
Se2 Se 0.241 0.324 0.699
```

Computed properties:
Raw formation energy, kcal/mol of atoms: -30.354
Total DFT energy (no corrections), eV per atom: -4.527
Volume, Å³/cell: 763.5
Crystal system: monoclinic


(10)
Compound: Rb2Ce2AgSe6
Source: Alexandria via LeMat-Bulk
Functional: PBE-GGA
Structure: relaxed

Cell and atoms, written as CIF:
```
data_Rb2Ce2AgSe6
_symmetry_space_group_name_H-M 'C 1 2/m 1'
_symmetry_Int_Tables_number 12
_cell_length_a 7.159
_cell_length_b 12.774
_cell_length_c 8.517
_cell_angle_alpha 90.00
_cell_angle_beta 105.18
_cell_angle_gamma 90.00
loop_
_symmetry_equiv_pos_as_xyz
'x,y,z'
'-x,-y,-z'
'-x,y,-z'
'x,-y,z'
'x+1/2,y+1/2,z'
'-x+1/2,-y+1/2,-z'
'-x+1/2,y+1/2,-z'
'x+1/2,-y+1/2,z'
loop_
_atom_site_label
_atom_site_type_symbol
_atom_site_fract_x
_atom_site_fract_y
_atom_site_fract_z
Rb1 Rb 0.000 0.159 0.000
Ce1 Ce 0.000 0.333 0.500
Ag1 Ag 0.000 0.000 0.500
Se1 Se 0.238 0.175 0.697
Se2 Se 0.244 0.500 0.678
```

Computed properties:
Raw formation energy, kcal/mol of atoms: -27.952
Total DFT energy (no corrections), eV per atom: -4.627
Volume, Å³/cell: 751.7
Crystal system: monoclinic


(11)
Compound: RbCe2AgSe4
Source: Alexandria via LeMat-Bulk
Functional: PBE-GGA
Structure: relaxed

Cell and atoms, written as CIF:
```
data_RbCe2AgSe4
_symmetry_space_group_name_H-M 'C m c m'
_symmetry_Int_Tables_number 63
_symmetry_space_group_name_Hall '-C 2c 2'
_cell_length_a 4.357
_cell_length_b 14.614
_cell_length_c 15.045
_cell_angle_alpha 90.00
_cell_angle_beta 90.00
_cell_angle_gamma 90.00
loop_
_atom_site_label
_atom_site_type_symbol
_atom_site_fract_x
_atom_site_fract_y
_atom_site_fract_z
Rb1 Rb 0.000 0.117 0.250
Ce1 Ce 0.000 0.370 0.064
Ag1 Ag 0.000 0.160 0.750
Se1 Se 0.000 0.000 0.000
Se2 Se 0.000 0.263 0.604
Se3 Se 0.000 0.441 0.250
```

Computed properties:
Raw formation energy, kcal/mol of atoms: -33.207
Total DFT energy (no corrections), eV per atom: -5.143
Volume, Å³/cell: 958.0
Crystal system: orthorhombic


(12)
Compound: RbCe4Ag3Se12
Source: Alexandria via LeMat-Bulk
Functional: PBE-GGA
Structure: relaxed

Cell and atoms, written as CIF:
```
data_RbCe4Ag3Se12
_symmetry_space_group_name_H-M 'I m -3'
_symmetry_Int_Tables_number 204
_symmetry_space_group_name_Hall '-I 2 2 3'
_cell_length_a 10.535
_cell_length_b 10.535
_cell_length_c 10.535
_cell_angle_alpha 90.00
_cell_angle_beta 90.00
_cell_angle_gamma 90.00
loop_
_atom_site_label
_atom_site_type_symbol
_atom_site_fract_x
_atom_site_fract_y
_atom_site_fract_z
Rb1 Rb 0.000 0.000 0.000
Ce1 Ce 0.250 0.250 0.250
Ag1 Ag 0.000 0.000 0.500
Se1 Se 0.000 0.317 0.166
```

Computed properties:
Raw formation energy, kcal/mol of atoms: -21.539
Total DFT energy (no corrections), eV per atom: -4.688
Volume, Å³/cell: 1169.1
Crystal system: cubic